VGeP2O | GGA+U | optimized geometry

Summary:
Total magnetization, μB/cell: 0.1
Final energy, hartree per atom: -0.2046
ρ, Mg/m³: 4.085
Energy relative to the lowest polymorph listed for this composition, meV/atom: 0

abc: 4.761 4.761 3.615
angles: 90.00 90.00 90.00
Sites, in units of the cell vectors:
P1 0.500 0.000 0.000
P2 0.000 0.500 0.000
Ge1 0.500 0.500 0.500
V1 0.000 0.000 0.000
O1 0.000 0.000 0.500